Compound: PrCr2OsO8
Source: Alexandria via LeMat-Bulk
Functional: GGA+U
Structure: optimized geometry

a = 4.7598 Å, b = 4.7598 Å, c = 6.5271 Å
α = 90.00°, β = 90.00°, γ = 91.58°
Last column: nearest neighbours and their distance in Å.
Fractional positions:
Pr 0.0000 0.0000 0.0000  6 O 2.26-2.35
Cr 0.5000 0.5000 0.2488  6 O 1.99-2.20
Cr 0.5000 0.5000 0.7512  6 O 1.99-2.20
Os 0.0000 0.0000 0.5000  6 O 1.90-1.95
O 0.2035 0.2035 0.2952  1 Os 1.90, 1 Cr 1.99
O 0.2035 0.2035 0.7048  1 Os 1.90, 1 Cr 1.99
O 0.2853 0.7147 0.5000  1 Os 1.95
O 0.3310 0.6690 0.0000  2 Cr 1.99
O 0.6690 0.3310 0.0000  2 Cr 1.99
O 0.7147 0.2853 0.5000  1 Os 1.95
O 0.7965 0.7965 0.2952  1 Os 1.90, 1 Cr 1.99
O 0.7965 0.7965 0.7048  1 Os 1.90, 1 Cr 1.99

Symmetry: No. 65
Total energy, eV per cell: -91.4
Crystal system: orthorhombic